First-principles (GGA-PBEsol) data for NaBeCo2As after structural relaxation, as listed in Alexandria via LeMat-Bulk.

```
NaBeCo2As
1.0
4.290 0.000 0.000
0.000 4.290 0.000
0.000 0.000 4.665
Na Be Co As
1 1 2 1
direct
0.000 0.000 0.000
0.500 0.500 0.500
0.000 0.500 0.000
0.500 0.000 0.000
0.000 0.000 0.500
```

DFT formation energy   10.24 eV/f.u.
Volume   86 Å³ per cell
Symmetry   P4/mmm (123)
Total energy   -15.74 eV/cell

First-principles (GGA-PBEsol) data for BeCo2SbAs after structural relaxation, as listed in Alexandria via LeMat-Bulk.

```
BeCo2SbAs
1.0
4.122 0.000 0.000
0.000 4.122 0.000
0.000 0.000 4.349
Be Co Sb As
1 2 1 1
direct
0.000 0.000 0.000
0.000 0.500 0.000
0.500 0.000 0.000
0.000 0.000 0.500
0.500 0.500 0.500
```

Volume   74 Å³ per cell
Symmetry   P4/mmm (123)
Total energy   -25.27 eV/cell
E_form (uncorrected)   0.77 eV per atom

First-principles (GGA-PBEsol) data for BeCrAs2 after structural relaxation, as listed in Alexandria via LeMat-Bulk.

```
BeCrAs2
1.0
5.371 0.000 0.000
0.000 6.496 0.000
0.000 0.000 3.254
Be Cr As
2 2 4
direct
0.000 0.000 0.000
0.500 0.500 0.000
0.000 0.500 0.000
0.500 0.000 0.000
0.250 0.250 0.500
0.250 0.750 0.500
0.750 0.250 0.500
0.750 0.750 0.500
```

DFT formation energy   1.19 eV/f.u.
Volume   114 Å³ per cell
Symmetry   Cmmm (65)
Total energy   -46.53 eV/cell

First-principles (GGA-PBEsol) data for Be2CrAs after structural relaxation, as listed in Alexandria via LeMat-Bulk.

```
Be2CrAs
1.0
5.641 0.000 0.000
0.000 5.641 0.000
0.000 0.000 5.641
Be Cr As
8 4 4
direct
0.000 0.000 0.000
0.000 0.500 0.500
0.250 0.250 0.250
0.250 0.750 0.750
0.500 0.000 0.500
0.500 0.500 0.000
0.750 0.250 0.750
0.750 0.750 0.250
0.000 0.000 0.500
0.000 0.500 0.000
0.500 0.000 0.000
0.500 0.500 0.500
0.250 0.250 0.750
0.250 0.750 0.250
0.750 0.250 0.250
0.750 0.750 0.750
```

DFT formation energy   1.78 eV/f.u.
Volume   180 Å³ per cell
Symmetry   F-43m (216)
Total energy   -86.27 eV/cell

First-principles (GGA-PBEsol) data for BeCrAs2 after structural relaxation, as listed in Alexandria via LeMat-Bulk.

```
BeCrAs2
1.0
3.044 0.000 0.000
0.000 3.055 0.000
-1.141 0.000 5.727
Be Cr As
1 1 2
direct
0.000 0.000 0.000
0.000 0.000 0.500
0.418 0.500 0.262
0.582 0.500 0.738
```

DFT formation energy   0.63 eV/f.u.
Volume   53 Å³ per cell
Symmetry   P2/m (10)
Total energy   -23.82 eV/cell

First-principles (GGA-PBEsol) data for BeCrAs2 after structural relaxation, as listed in Alexandria via LeMat-Bulk.

```
BeCrAs2
1.0
3.338 0.000 0.000
0.000 4.453 0.000
0.000 0.000 7.040
Be Cr As
2 2 4
direct
0.000 0.000 0.000
0.500 0.500 0.500
0.000 0.000 0.500
0.500 0.500 0.000
0.000 0.500 0.276
0.000 0.500 0.724
0.500 0.000 0.224
0.500 0.000 0.776
```

DFT formation energy   0.95 eV/f.u.
Volume   105 Å³ per cell
Symmetry   Immm (71)
Total energy   -47.00 eV/cell

First-principles (GGA-PBEsol) data for Cs2BeAs2 after structural relaxation, as listed in Alexandria via LeMat-Bulk.

```
Cs2BeAs2
1.0
6.582 0.000 0.000
0.000 6.582 0.000
0.000 0.000 6.090
Cs Be As
4 2 4
direct
0.179 0.321 0.000
0.321 0.821 0.000
0.679 0.179 0.000
0.821 0.679 0.000
0.000 0.000 0.500
0.500 0.500 0.500
0.137 0.637 0.500
0.363 0.137 0.500
0.637 0.863 0.500
0.863 0.363 0.500
```

DFT formation energy   0.10 eV/f.u.
Volume   264 Å³ per cell
Symmetry   P4/mbm (127)
Total energy   -32.00 eV/cell

First-principles (GGA-PBEsol) data for CsBeAsSe2 after structural relaxation, as listed in Alexandria via LeMat-Bulk.

```
CsBeAsSe2
1.0
4.978 0.000 0.000
0.000 4.978 0.000
0.000 0.000 4.584
Cs Be As Se
1 1 1 2
direct
0.000 0.000 0.000
0.500 0.500 0.500
0.500 0.500 0.000
0.000 0.500 0.500
0.500 0.000 0.500
```

Volume   114 Å³ per cell
Symmetry   P4/mmm (123)
Total energy   -17.99 eV/cell
E_form (uncorrected)   -0.05 eV per atom

First-principles (GGA-PBEsol) data for BeCuAs4 after structural relaxation, as listed in Alexandria via LeMat-Bulk.

```
BeCuAs4
1.0
0.000 3.803 3.803
3.803 0.000 3.803
3.803 3.803 0.000
Be Cu As
1 1 4
direct
0.000 0.000 0.000
0.750 0.750 0.750
0.375 0.375 0.375
0.375 0.375 0.875
0.375 0.875 0.375
0.875 0.375 0.375
```

DFT formation energy   4.95 eV/f.u.
Volume   110 Å³ per cell
Symmetry   F-43m (216)
Total energy   -23.80 eV/cell

First-principles (GGA-PBEsol) data for BeAsF2 after structural relaxation, as listed in Alexandria via LeMat-Bulk.

```
BeAsF2
1.0
0.000 3.633 3.633
3.633 0.000 3.633
3.633 3.633 0.000
Be As F
2 2 4
direct
0.125 0.125 0.125
0.875 0.875 0.875
0.375 0.375 0.375
0.625 0.625 0.625
0.000 0.000 0.000
0.000 0.000 0.500
0.000 0.500 0.000
0.500 0.000 0.000
```

Volume   96 Å³ per cell
Symmetry   Fd-3m (227)
Total energy   -40.72 eV/cell
E_form (uncorrected)   -1.85 eV per atom

First-principles (GGA-PBEsol) data for BeAsF2 after structural relaxation, as listed in Alexandria via LeMat-Bulk.

```
BeAsF2
1.0
5.783 0.000 0.000
0.000 5.783 0.000
0.000 0.000 5.783
Be As F
4 4 8
direct
0.000 0.000 0.000
0.000 0.500 0.500
0.500 0.000 0.500
0.500 0.500 0.000
0.000 0.000 0.500
0.000 0.500 0.000
0.500 0.000 0.000
0.500 0.500 0.500
0.250 0.250 0.250
0.250 0.250 0.750
0.250 0.750 0.250
0.250 0.750 0.750
0.750 0.250 0.250
0.750 0.250 0.750
0.750 0.750 0.250
0.750 0.750 0.750
```

Volume   193 Å³ per cell
Symmetry   Fm-3m (225)
Total energy   -56.24 eV/cell
E_form (uncorrected)   -0.27 eV per atom

First-principles (GGA-PBEsol) data for BeFe2AsPt after structural relaxation, as listed in Alexandria via LeMat-Bulk.

```
BeFe2AsPt
1.0
4.271 0.000 0.000
0.000 4.271 0.000
0.000 0.000 4.579
Be Fe As Pt
1 2 1 1
direct
0.000 0.000 0.000
0.000 0.500 0.500
0.500 0.000 0.500
0.500 0.500 0.500
0.500 0.500 0.000
```

DFT formation energy   4.70 eV/f.u.
Volume   84 Å³ per cell
Symmetry   P4/mmm (123)
Total energy   -29.30 eV/cell